(1)
# SrMnHg2I | Alexandria via LeMat-Bulk | PBE | relaxed
# - DFT total energy: -13.57 eV per cell
# - Calculated density: 7.2 g/cm³
data_SrMnHg2I
_chemical_formula_sum 'Sr1 Mn1 Hg2 I1'
_cell_length_a 5.2833
_cell_length_b 5.2833
_cell_length_c 5.5046
_cell_angle_alpha 90.00
_cell_angle_beta 90.00
_cell_angle_gamma 90.00
_space_group_name_H-M_alt 'P 4/m m m'
_space_group_IT_number 123
_space_group_name_Hall '-P 4 2'
loop_
_atom_site_label
_atom_site_type_symbol
_atom_site_fract_x
_atom_site_fract_y
_atom_site_fract_z
Sr1 Sr 0.0000 0.0000 0.0000
Mn1 Mn 0.5000 0.5000 0.5000
Hg1 Hg 0.0000 0.5000 0.5000
I1 I 0.5000 0.5000 0.0000

(2)
# TbNdHo3 | Alexandria via LeMat-Bulk | PBE | relaxed
# - Relative energy among the computed polymorphs: 0.000 eV/atom
# - Calculated density: 8.2 g/cm³
data_TbNdHo3
_chemical_formula_sum 'Tb2 Nd2 Ho6'
_cell_length_a 6.2974
_cell_length_b 5.6710
_cell_length_c 9.6098
_cell_angle_alpha 90.00
_cell_angle_beta 109.08
_cell_angle_gamma 90.00
_space_group_name_H-M_alt 'P 1 21/m 1'
_space_group_IT_number 11
loop_
_space_group_symop_operation_xyz
'x,y,z'
'-x,-y,-z'
'-x,y+1/2,-z'
'x,-y+1/2,z'
loop_
_atom_site_label
_atom_site_type_symbol
_atom_site_fract_x
_atom_site_fract_y
_atom_site_fract_z
Tb1 Tb 0.0335 0.2500 0.4002
Nd1 Nd 0.4315 0.2500 0.1999
Ho1 Ho 0.1638 0.7500 0.9992
Ho2 Ho 0.2334 0.2500 0.7992
Ho3 Ho 0.3648 0.7500 0.4013

(3)
# Mg2AsAu2 | Alexandria via LeMat-Bulk | PBE | relaxed
# - Relative energy among the computed polymorphs: 0.000 eV/atom
# - Calculated density: 8.9 g/cm³
data_Mg2AsAu2
_chemical_formula_sum 'Mg4 As2 Au4'
_cell_length_a 7.5809
_cell_length_b 7.5809
_cell_length_c 3.3439
_cell_angle_alpha 90.00
_cell_angle_beta 90.00
_cell_angle_gamma 90.00
_space_group_name_H-M_alt 'P 4/m b m'
_space_group_IT_number 127
_space_group_name_Hall '-P 4 2ab'
loop_
_atom_site_label
_atom_site_type_symbol
_atom_site_fract_x
_atom_site_fract_y
_atom_site_fract_z
Mg1 Mg 0.1644 0.3356 0.0000
As1 As 0.0000 0.0000 0.5000
Au1 Au 0.1337 0.6337 0.5000

(4)
# CaLu2Tl | Alexandria via LeMat-Bulk | PBE | relaxed
# - Relative energy among the computed polymorphs: 0.000 eV/atom
# - Calculated density: 8.7 g/cm³
data_CaLu2Tl
_chemical_formula_sum 'Ca1 Lu2 Tl1'
_cell_length_a 4.8544
_cell_length_b 4.8544
_cell_length_c 4.8145
_cell_angle_alpha 90.00
_cell_angle_beta 90.00
_cell_angle_gamma 90.00
_space_group_name_H-M_alt 'P 4/m m m'
_space_group_IT_number 123
_space_group_name_Hall '-P 4 2'
loop_
_atom_site_label
_atom_site_type_symbol
_atom_site_fract_x
_atom_site_fract_y
_atom_site_fract_z
Ca1 Ca 0.0000 0.0000 0.0000
Lu1 Lu 0.0000 0.5000 0.5000
Tl1 Tl 0.5000 0.5000 0.0000

(5)
# Li3LaCd2 | Alexandria via LeMat-Bulk | PBE | relaxed
# - Relative energy among the computed polymorphs: 0.051 eV/atom
# - Calculated density: 4.6 g/cm³
data_Li3LaCd2
_chemical_formula_sum 'Li12 La4 Cd8'
_cell_length_a 10.1164
_cell_length_b 9.1104
_cell_length_c 5.9673
_cell_angle_alpha 90.00
_cell_angle_beta 90.00
_cell_angle_gamma 90.00
_space_group_name_H-M_alt 'C m c m'
_space_group_IT_number 63
_space_group_name_Hall '-C 2c 2'
loop_
_atom_site_label
_atom_site_type_symbol
_atom_site_fract_x
_atom_site_fract_y
_atom_site_fract_z
Li1 Li 0.0000 0.0320 0.2500
Li2 Li 0.1671 0.2694 0.2500
La1 La 0.0000 0.3358 0.7500
Cd1 Cd 0.2304 0.0000 0.0000

(6)
# NaAgC2F | Alexandria via LeMat-Bulk | PBE | relaxed
# - DFT total energy: -18.00 eV per cell
# - Calculated density: 3.3 g/cm³
data_NaAgC2F
_chemical_formula_sum 'Na1 Ag1 C2 F1'
_cell_length_a 3.9553
_cell_length_b 3.9553
_cell_length_c 5.6248
_cell_angle_alpha 90.00
_cell_angle_beta 90.00
_cell_angle_gamma 90.00
_space_group_name_H-M_alt 'P 4/m m m'
_space_group_IT_number 123
_space_group_name_Hall '-P 4 2'
loop_
_atom_site_label
_atom_site_type_symbol
_atom_site_fract_x
_atom_site_fract_y
_atom_site_fract_z
Na1 Na 0.0000 0.0000 0.0000
Ag1 Ag 0.5000 0.5000 0.5000
C1 C 0.0000 0.5000 0.5000
F1 F 0.5000 0.5000 0.0000

(7)
# VTe2Mo | Alexandria via LeMat-Bulk | PBE | relaxed
# - Relative energy among the computed polymorphs: 0.212 eV/atom
# - Calculated density: 7.1 g/cm³
data_VTe2Mo
_chemical_formula_sum 'V3 Te6 Mo3'
_cell_length_a 3.4389
_cell_length_b 3.4389
_cell_length_c 27.4243
_cell_angle_alpha 90.00
_cell_angle_beta 90.00
_cell_angle_gamma 120.00
_space_group_name_H-M_alt 'R -3 m'
_space_group_IT_number 166
_space_group_name_Hall '-R 3 2"'
loop_
_atom_site_label
_atom_site_type_symbol
_atom_site_fract_x
_atom_site_fract_y
_atom_site_fract_z
V1 V 0.0000 0.0000 0.0000
Te1 Te 0.0000 0.0000 0.0980
Mo1 Mo 0.0000 0.0000 0.5000

(8)
# Y2HgRh | Alexandria via LeMat-Bulk | PBE | relaxed
# - DFT total energy: -46.06 eV per cell
# - Calculated density: 8.4 g/cm³
data_Y2HgRh
_chemical_formula_sum 'Y4 Hg2 Rh2'
_cell_length_a 4.6033
_cell_length_b 3.7961
_cell_length_c 10.9108
_cell_angle_alpha 90.00
_cell_angle_beta 90.00
_cell_angle_gamma 90.00
_space_group_name_H-M_alt 'A m m 2'
_space_group_IT_number 38
loop_
_space_group_symop_operation_xyz
'x,y,z'
'-x,-y,z'
'-x,y,z'
'x,-y,z'
'x,y+1/2,z+1/2'
'-x,-y+1/2,z+1/2'
'-x,y+1/2,z+1/2'
'x,-y+1/2,z+1/2'
loop_
_atom_site_label
_atom_site_type_symbol
_atom_site_fract_x
_atom_site_fract_y
_atom_site_fract_z
Y1 Y 0.0000 0.0000 0.0000
Y2 Y 0.5000 0.0000 0.2866
Hg1 Hg 0.5000 0.0000 0.5662
Rh1 Rh 0.0000 0.0000 0.7364

(9)
# Hf2ZrNbRh | Alexandria via LeMat-Bulk | PBE | relaxed
# - DFT total energy: -38.34 eV per cell
# - Calculated density: 8.9 g/cm³
data_Hf2ZrNbRh
_chemical_formula_sum 'Hf2 Zr1 Nb1 Rh1'
_cell_length_a 5.0517
_cell_length_b 5.0517
_cell_length_c 4.7149
_cell_angle_alpha 90.00
_cell_angle_beta 90.00
_cell_angle_gamma 90.00
_space_group_name_H-M_alt 'P 4/m m m'
_space_group_IT_number 123
_space_group_name_Hall '-P 4 2'
loop_
_atom_site_label
_atom_site_type_symbol
_atom_site_fract_x
_atom_site_fract_y
_atom_site_fract_z
Hf1 Hf 0.0000 0.5000 0.0000
Zr1 Zr 0.0000 0.0000 0.0000
Nb1 Nb 0.0000 0.0000 0.5000
Rh1 Rh 0.5000 0.5000 0.5000

(10)
# BPAu | Alexandria via LeMat-Bulk | PBE | relaxed
# - Relative energy among the computed polymorphs: 0.435 eV/atom
# - Calculated density: 8.1 g/cm³
data_BPAu
_chemical_formula_sum 'B4 P4 Au4'
_cell_length_a 16.8697
_cell_length_b 3.0558
_cell_length_c 3.9267
_cell_angle_alpha 90.00
_cell_angle_beta 103.38
_cell_angle_gamma 90.00
_space_group_name_H-M_alt 'C 1 2/m 1'
_space_group_IT_number 12
loop_
_space_group_symop_operation_xyz
'x,y,z'
'-x,-y,-z'
'-x,y,-z'
'x,-y,z'
'x+1/2,y+1/2,z'
'-x+1/2,-y+1/2,-z'
'-x+1/2,y+1/2,-z'
'x+1/2,-y+1/2,z'
loop_
_atom_site_label
_atom_site_type_symbol
_atom_site_fract_x
_atom_site_fract_y
_atom_site_fract_z
B1 B 0.2216 0.0000 0.4721
P1 P 0.1504 0.5000 0.4002
Au1 Au 0.0597 0.5000 0.8095

(11)
# LaAgH6Pd4 | Alexandria via LeMat-Bulk | PBE | relaxed
# - DFT total energy: -51.84 eV per cell
# - Calculated density: 8.2 g/cm³
data_LaAgH6Pd4
_chemical_formula_sum 'La1 Ag1 H6 Pd4'
_cell_length_a 4.8338
_cell_length_b 4.8338
_cell_length_c 6.8157
_cell_angle_alpha 90.00
_cell_angle_beta 90.00
_cell_angle_gamma 120.00
_space_group_name_H-M_alt 'P 6/m m m'
_space_group_IT_number 191
_space_group_name_Hall '-P 6 2'
loop_
_atom_site_label
_atom_site_type_symbol
_atom_site_fract_x
_atom_site_fract_y
_atom_site_fract_z
La1 La 0.0000 0.0000 0.0000
Ag1 Ag 0.0000 0.0000 0.5000
H1 H 0.0000 0.5000 0.1512
Pd1 Pd 0.3333 0.6667 0.3024

(12)
# LiZr2CuF | Alexandria via LeMat-Bulk | PBE | relaxed
# - DFT total energy: -28.60 eV per cell
# - Calculated density: 5.9 g/cm³
data_LiZr2CuF
_chemical_formula_sum 'Li1 Zr2 Cu1 F1'
_cell_length_a 4.6521
_cell_length_b 4.6521
_cell_length_c 3.5518
_cell_angle_alpha 90.00
_cell_angle_beta 90.00
_cell_angle_gamma 90.00
_space_group_name_H-M_alt 'P 4/m m m'
_space_group_IT_number 123
_space_group_name_Hall '-P 4 2'
loop_
_atom_site_label
_atom_site_type_symbol
_atom_site_fract_x
_atom_site_fract_y
_atom_site_fract_z
Li1 Li 0.0000 0.0000 0.0000
Zr1 Zr 0.0000 0.5000 0.5000
Cu1 Cu 0.5000 0.5000 0.0000
F1 F 0.0000 0.0000 0.5000